UVZn2O8 | PBE+U | relaxed

Unit cell a=4.7725 b=4.7734 c=6.2738 alpha=90.00 beta=90.00 gamma=93.60
Last column: nearest neighbours and their distance in Å.
Atoms (fractional coordinates):
O  0.2863  0.2859  0.0000  1 V 1.87, 2 Zn 2.03
V  0.0000  0.0000  0.0000  6 O 1.87-1.92
O  0.8184  0.1819  0.2312  1 V 1.92, 1 U 2.11
Zn  0.5000  0.5000  0.7659  6 O 2.03-2.21
O  0.3071  0.3069  0.5000  1 U 2.01, 2 Zn 2.09
Zn  0.5000  0.5000  0.2341  6 O 2.03-2.21
O  0.8184  0.1819  0.7688  1 V 1.92, 1 U 2.11
O  0.1816  0.8181  0.2312  1 V 1.92, 1 U 2.11
O  0.7137  0.7141  0.0000  1 V 1.87, 2 Zn 2.03
O  0.6929  0.6931  0.5000  1 U 2.01, 2 Zn 2.09
O  0.1816  0.8181  0.7688  1 V 1.92, 1 U 2.11
U  0.0000  0.0000  0.5000  6 O 2.01-2.11

Summary:
mass density = 6377 kg/m3
uncorrected energy = -6.9886 eV per atom
N(E_F) = 6.97 states/eV/cell
magnetic moment = 0.00 μB/cell